Entry 1:
## U3Pb2S8 (PBE)

Data for a relaxed structure of U3Pb2S8.

Unit cell a=8.175 b=8.175 c=6.877 alpha=106.27 beta=106.27 gamma=58.84
Fractional coordinates of all 13 atoms:
U 0.000 0.000 0.000
U 0.256 0.744 0.500
U 0.744 0.256 0.500
Pb 0.265 0.265 0.838
Pb 0.735 0.735 0.162
S 0.105 0.105 0.406
S 0.118 0.657 0.101
S 0.343 0.882 0.899
S 0.389 0.389 0.562
S 0.611 0.611 0.438
S 0.657 0.118 0.101
S 0.882 0.343 0.899
S 0.895 0.895 0.594

Calculated values
**Spin magnetization**: 6.000 μB per formula unit
**DOS(E_F)**: 17.3 states/eV/cell
**Symmetry**: No. 12
**ΔE_f (raw)**: -1088 meV per atom
**Raw total energy**: -88.45 eV/cell


Entry 2:
## U2Pb3S8 (PBE)

Data for a relaxed structure of U2Pb3S8.

Unit cell a=8.238 b=8.238 c=6.941 alpha=106.35 beta=106.35 gamma=59.52
Fractional coordinates of all 13 atoms:
U 0.246 0.246 0.473
U 0.754 0.754 0.527
Pb 0.244 0.756 0.500
Pb 0.500 0.500 0.000
Pb 0.756 0.244 0.500
S 0.123 0.588 0.718
S 0.142 0.142 0.702
S 0.363 0.363 0.260
S 0.412 0.877 0.282
S 0.588 0.123 0.718
S 0.637 0.637 0.740
S 0.858 0.858 0.298
S 0.877 0.412 0.282

Calculated values
**Spin magnetization**: 2.000 μB per formula unit
**DOS(E_F)**: 9.7 states/eV/cell
**Symmetry**: No. 12
**ΔE_f (raw)**: -869 meV per atom
**Raw total energy**: -78.02 eV/cell


Entry 3:
## UPb2S4 (PBE)

Data for a relaxed structure of UPb2S4.

Unit cell a=7.347 b=12.849 c=4.097 alpha=90.00 beta=90.00 gamma=90.00
Fractional coordinates of all 14 atoms:
U 0.000 0.000 0.000
U 0.500 0.500 0.000
Pb 0.119 0.332 0.500
Pb 0.381 0.832 0.500
Pb 0.619 0.168 0.500
Pb 0.881 0.668 0.500
S 0.120 0.802 0.000
S 0.235 0.039 0.500
S 0.265 0.539 0.500
S 0.380 0.302 0.000
S 0.620 0.698 0.000
S 0.735 0.461 0.500
S 0.765 0.961 0.500
S 0.880 0.198 0.000

Calculated values
**Spin magnetization**: 2.000 μB per formula unit
**DOS(E_F)**: 9.6 states/eV/cell
**Symmetry**: No. 55
**ΔE_f (raw)**: -883 meV per atom
**Raw total energy**: -82.80 eV/cell


Entry 4:
## UPb3S6 (PBE)

Data for a relaxed structure of UPb3S6.

Unit cell a=6.955 b=7.699 c=12.019 alpha=90.00 beta=122.26 gamma=90.00
Fractional coordinates of all 20 atoms:
U 0.000 0.000 0.000
U 0.000 0.500 0.500
Pb 0.299 0.070 0.786
Pb 0.299 0.430 0.286
Pb 0.500 0.000 0.500
Pb 0.500 0.500 0.000
Pb 0.701 0.570 0.714
Pb 0.701 0.930 0.214
S 0.103 0.065 0.234
S 0.103 0.435 0.734
S 0.248 0.726 0.084
S 0.248 0.774 0.584
S 0.352 0.170 0.041
S 0.352 0.330 0.541
S 0.648 0.670 0.459
S 0.648 0.830 0.959
S 0.752 0.226 0.416
S 0.752 0.274 0.916
S 0.897 0.565 0.266
S 0.897 0.935 0.766

Calculated values
**Spin magnetization**: 0.076 μB per formula unit
**Symmetry**: No. 14
**ΔE_f (raw)**: -755 meV per atom
**Raw total energy**: -109.45 eV/cell


The highest ΔE_f (raw) belongs to which entry?
UPb3S6


What did the third record say?
## UPb2S4 (PBE)

Data for a relaxed structure of UPb2S4.

Unit cell a=7.347 b=12.849 c=4.097 alpha=90.00 beta=90.00 gamma=90.00
Fractional coordinates of all 14 atoms:
U 0.000 0.000 0.000
U 0.500 0.500 0.000
Pb 0.119 0.332 0.500
Pb 0.381 0.832 0.500
Pb 0.619 0.168 0.500
Pb 0.881 0.668 0.500
S 0.120 0.802 0.000
S 0.235 0.039 0.500
S 0.265 0.539 0.500
S 0.380 0.302 0.000
S 0.620 0.698 0.000
S 0.735 0.461 0.500
S 0.765 0.961 0.500
S 0.880 0.198 0.000

Calculated values
**Spin magnetization**: 2.000 μB per formula unit
**DOS(E_F)**: 9.6 states/eV/cell
**Symmetry**: No. 55
**ΔE_f (raw)**: -883 meV per atom
**Raw total energy**: -82.80 eV/cell


Look up the raw total energy of the fourth one.
-109.45 eV/cell


Look up the spin magnetization of the third one.
2.000 μB per formula unit